Entry from Alexandria: a relaxed ScFe2W crystal (PBE-GGA).

Cell lengths 3.014, 3.014, 6.597 Å; angles 90.00, 90.00, 90.00 degrees
Space group P4mm (No. 99)
Unique sites:
Sc (0.000, 0.000, 0.000) (multiplicity 1)
Fe (0.000, 0.000, 0.525) (multiplicity 1)
Fe (0.500, 0.500, 0.725) (multiplicity 1)
W (0.500, 0.500, 0.309) (multiplicity 1)

energy of formation: 11 kJ per mole of atoms
Fermi-level density of states: 3.49 states/eV/f.u.
size of the total moment: 3.78 μB per formula unit
final energy: -8.934 eV/atom